(1)
Material: SmTeAs
Method: DFT, GGA-PBEsol
State: optimized geometry

Cell lengths 7.534, 4.056, 9.961 Å; angles 90.00, 90.00, 90.00 degrees
Space group Pnma (No. 62)
One atom of each set of equivalent atoms:
Sm 0.229 0.250 0.159 [4 per cell]
Te 0.089 0.250 0.853 [4 per cell]
As 0.097 0.250 0.461 [4 per cell]

raw formation energy: -362 kJ/mol of formula units
crystal system: orthorhombic

---

(2)
Material: Zn2InMo
Method: DFT, GGA-PBEsol
State: optimized geometry

Cell lengths 2.905, 3.885, 5.709 Å; angles 90.00, 90.00, 90.00 degrees
Space group Pmm2 (No. 25)
One atom of each set of equivalent atoms:
Zn 0.000 0.000 0.000 [1 per cell]
Zn 0.500 0.500 0.231 [1 per cell]
In 0.000 0.000 0.502 [1 per cell]
Mo 0.500 0.500 0.766 [1 per cell]

ΔE_f: 1.05 eV/f.u.
crystal system: orthorhombic

---

Which theoretical density belongs to each record? In order, 7.7; 8.8 Mg/m³.